The following is a DFT calculation (PBE) of a relaxed NdGePd crystal.

The calculated total energy comes out at -5.7753 eV per atom. As for the formation energy from the elements: -916.0 meV per atom.

The structure belongs to space group P-6m2 (No. 187); the cell edges are 4.4980, 4.4980 and 3.6953 Å and the angles 90.00°, 90.00° and 120.00°. Symmetry generates all atoms from Nd at (0.0000, 0.0000, 0.0000), Ge at (0.6667, 0.3333, 0.5000) and Pd at (0.3333, 0.6667, 0.5000).

=====

The following is a DFT calculation (PBE) of a relaxed Nd2Ge4Pd3 crystal.

The calculated total energy comes out at -5.5940 eV per atom. As for the formation energy from the elements: -751.4 meV per atom.

The structure belongs to space group Cmce (No. 64); the cell edges are 5.864, 15.393 and 7.630 Å and the angles 90.00°, 90.00° and 90.00°. Symmetry generates all atoms from Nd at (0.000, 0.109, 0.091), Ge at (0.000, 0.182, 0.475), Ge at (0.250, 0.058, 0.750), Pd at (0.000, 0.000, 0.500) and Pd at (0.250, 0.223, 0.750).

=====

The following is a DFT calculation (PBE) of a relaxed Nd6Ge3Pd crystal.

The calculated total energy comes out at -5.3448 eV per atom. As for the formation energy from the elements: -579.6 meV per atom.

The structure belongs to space group P2_1/c (No. 14); the cell edges are 6.586, 8.280 and 12.580 Å and the angles 90.00°, 120.50° and 90.00°. Symmetry generates all atoms from Nd at (0.071, 0.179, 0.428), Nd at (0.282, 0.676, 0.422), Nd at (0.399, 0.046, 0.248), Ge at (0.169, 0.118, 0.744), Ge at (0.500, 0.000, 0.500) and Pd at (0.000, 0.000, 0.000).